[1]
The following is a PBE calculation of a geometry-optimized AgBiCl4 structure, from Alexandria via LeMat-Bulk.

For the calculated total energy, the calculation gives -3.15 eV per atom. The uncorrected formation energy comes out at -0.794 eV/atom.

The space group is C2/c (No. 15) and the conventional cell measures 8.4145, 17.3146 and 6.6521 Å, with angles of 90.00, 128.20 and 90.00 degrees. Symmetry generates all atoms from Ag at (0.0000, 0.1273, 0.2500), Bi at (0.0000, 0.3247, 0.7500), Cl at (0.2175, 0.4296, 0.7382) and Cl at (0.2261, 0.2011, 0.7292).

[2]
The following is a PBE calculation of a geometry-optimized Sr2FePbN structure, from Alexandria via LeMat-Bulk.

For the calculated total energy, the calculation gives -5.12 eV per atom. The uncorrected formation energy comes out at -0.352 eV/atom.

The space group is P4/mmm (No. 123) and the conventional cell measures 5.7131, 5.7131 and 3.6373 Å, with angles of 90.00, 90.00 and 90.00 degrees. Symmetry generates all atoms from Sr at (0.0000, 0.5000, 0.0000), Fe at (0.0000, 0.0000, 0.5000), Pb at (0.5000, 0.5000, 0.5000) and N at (0.0000, 0.0000, 0.0000).

[3]
The following is a PBE calculation of a geometry-optimized Rb2Np3O8 structure, from Alexandria via LeMat-Bulk.

For the calculated total energy, the calculation gives -8.88 eV per atom. The uncorrected formation energy comes out at -2.689 eV/atom.

The space group is C2/m (No. 12) and the conventional cell measures 13.4615, 6.9688 and 5.9965 Å, with angles of 90.00, 110.01 and 90.00 degrees. Symmetry generates all atoms from Rb at (0.2146, 0.0000, 0.1633), Np at (0.0000, 0.2446, 0.5000), Np at (0.0000, 0.5000, 0.0000), O at (0.0823, 0.2869, 0.8744), O at (0.0834, 0.5000, 0.4015) and O at (0.0916, 0.0000, 0.4719).

[4]
The following is a PBE calculation of a geometry-optimized LaAl6Cu12 structure, from Alexandria via LeMat-Bulk.

For the calculated total energy, the calculation gives -4.14 eV per atom.

The space group is R-3m (No. 166, hexagonal axes) and the conventional cell measures 10.7894, 10.7894 and 8.5506 Å, with angles of 90.00, 90.00 and 120.00 degrees. Symmetry generates all atoms from La at (0.0000, 0.0000, 0.0000), Al at (0.0540, 0.5270, 0.2467), Cu at (0.0000, 0.3881, 0.5000) and Cu at (0.0878, 0.1755, 0.2978).

[5]
The following is a PBE calculation of a geometry-optimized Pu4BiPt2 structure, from Alexandria via LeMat-Bulk.

For the calculated total energy, the calculation gives -10.96 eV per atom.

The space group is I-42d (No. 122) and the conventional cell measures 8.9849, 8.9849 and 8.9884 Å, with angles of 90.00, 90.00 and 90.00 degrees. Symmetry generates all atoms from Pu at (0.0796, 0.6618, 0.4300), Bi at (0.0000, 0.0000, 0.5000) and Pt at (0.1341, 0.7500, 0.1250).

[6]
The following is a PBE calculation of a geometry-optimized PuMn2Cr structure, from Alexandria via LeMat-Bulk.

For the calculated total energy, the calculation gives -10.27 eV per atom.

The space group is Fm-3m (No. 225) and the conventional cell measures 6.1891, 6.1891 and 6.1891 Å, with angles of 90.00, 90.00 and 90.00 degrees. Symmetry generates all atoms from Pu at (0.0000, 0.0000, 0.0000), Mn at (0.2500, 0.2500, 0.2500) and Cr at (0.0000, 0.0000, 0.5000).

[7]
The following is a PBE calculation of a geometry-optimized CrRe4Pb structure, from Alexandria via LeMat-Bulk.

For the calculated total energy, the calculation gives -9.75 eV per atom.

The space group is F-43m (No. 216) and the conventional cell measures 7.4537, 7.4537 and 7.4537 Å, with angles of 90.00, 90.00 and 90.00 degrees. Symmetry generates all atoms from Cr at (0.0000, 0.0000, 0.0000), Re at (0.1257, 0.1257, 0.3743) and Pb at (0.2500, 0.2500, 0.7500).

[8]
The following is a PBE calculation of a geometry-optimized KMnBe2V structure, from Alexandria via LeMat-Bulk.

For the calculated total energy, the calculation gives -3.43 eV per atom.

The space group is P4/mmm (No. 123) and the conventional cell measures 4.2861, 4.2861 and 4.6114 Å, with angles of 90.00, 90.00 and 90.00 degrees. Symmetry generates all atoms from K at (0.0000, 0.0000, 0.0000), Mn at (0.0000, 0.0000, 0.5000), Be at (0.0000, 0.5000, 0.5000) and V at (0.5000, 0.5000, 0.0000).

[9]
The following is a PBE calculation of a geometry-optimized K2S structure, from Alexandria via LeMat-Bulk.

For the calculated total energy, the calculation gives -3.09 eV per atom. The uncorrected formation energy comes out at -0.981 eV/atom.

The space group is P6_3/mmc (No. 194) and the conventional cell measures 5.2995, 5.2995 and 7.2932 Å, with angles of 90.00, 90.00 and 120.00 degrees. Symmetry generates all atoms from K at (0.0000, 0.0000, 0.0000), K at (0.3333, 0.6667, 0.2500) and S at (0.3333, 0.6667, 0.7500).

[10]
The following is a PBE calculation of a geometry-optimized LiFeC3 structure, from Alexandria via LeMat-Bulk.

For the calculated total energy, the calculation gives -4.65 eV per atom.

The space group is Pm-3m (No. 221) and the conventional cell measures 3.4989, 3.4989 and 3.4989 Å, with angles of 90.00, 90.00 and 90.00 degrees. Symmetry generates all atoms from Li at (0.0000, 0.0000, 0.0000), Fe at (0.5000, 0.5000, 0.5000) and C at (0.0000, 0.0000, 0.5000).

[11]
The following is a PBE calculation of a geometry-optimized NbCrAu3 structure, from Alexandria via LeMat-Bulk.

For the calculated total energy, the calculation gives -4.75 eV per atom.

The space group is Pm-3m (No. 221) and the conventional cell measures 4.8355, 4.8355 and 4.8355 Å, with angles of 90.00, 90.00 and 90.00 degrees. Symmetry generates all atoms from Nb at (0.0000, 0.0000, 0.0000), Cr at (0.5000, 0.5000, 0.5000) and Au at (0.0000, 0.5000, 0.5000).

[12]
The following is a PBE calculation of a geometry-optimized LiCeTmAl structure, from Alexandria via LeMat-Bulk.

For the calculated total energy, the calculation gives -4.14 eV per atom.

The space group is F-43m (No. 216) and the conventional cell measures 7.2601, 7.2601 and 7.2601 Å, with angles of 90.00, 90.00 and 90.00 degrees. Symmetry generates all atoms from Li at (0.0000, 0.0000, 0.0000), Ce at (0.2500, 0.2500, 0.2500), Tm at (0.2500, 0.2500, 0.7500) and Al at (0.0000, 0.0000, 0.5000).

[13]
The following is a PBE calculation of a geometry-optimized Li2NpAuO6 structure, from Alexandria via LeMat-Bulk.

For the calculated total energy, the calculation gives -6.80 eV per atom. The uncorrected formation energy comes out at -1.825 eV/atom.

The space group is C2/m (No. 12) and the conventional cell measures 10.2594, 5.5479 and 5.0045 Å, with angles of 90.00, 112.75 and 90.00 degrees. Symmetry generates all atoms from Li at (0.2412, 0.0000, 0.1330), Np at (0.0000, 0.0000, 0.5000), Au at (0.0000, 0.5000, 0.0000), O at (0.0972, 0.2583, 0.8387) and O at (0.1679, 0.0000, 0.4467).

[14]
The following is a PBE calculation of a geometry-optimized Ba2LaTc structure, from Alexandria via LeMat-Bulk.

For the calculated total energy, the calculation gives -3.92 eV per atom.

The space group is Fm-3m (No. 225) and the conventional cell measures 7.9347, 7.9347 and 7.9347 Å, with angles of 90.00, 90.00 and 90.00 degrees. Symmetry generates all atoms from Ba at (0.2500, 0.2500, 0.2500), La at (0.0000, 0.0000, 0.0000) and Tc at (0.0000, 0.0000, 0.5000).

[15]
The following is a PBE calculation of a geometry-optimized DyGa2Co3 structure, from Alexandria via LeMat-Bulk.

For the calculated total energy, the calculation gives -5.69 eV per atom.

The space group is P6/mmm (No. 191) and the conventional cell measures 5.2327, 5.2327 and 3.7440 Å, with angles of 90.00, 90.00 and 120.00 degrees. Symmetry generates all atoms from Dy at (0.0000, 0.0000, 0.0000), Ga at (0.3333, 0.6667, 0.0000) and Co at (0.0000, 0.5000, 0.5000).

[16]
The following is a PBE calculation of a geometry-optimized Sr3Ge5Br12 structure, from Alexandria via LeMat-Bulk.

For the calculated total energy, the calculation gives -3.18 eV per atom. The uncorrected formation energy comes out at -0.772 eV/atom.

The space group is Ia-3d (No. 230) and the conventional cell measures 17.8197, 17.8197 and 17.8197 Å, with angles of 90.00, 90.00 and 90.00 degrees. Symmetry generates all atoms from Sr at (0.0000, 0.2500, 0.1250), Ge at (0.0000, 0.0000, 0.0000), Ge at (0.0000, 0.2500, 0.3750) and Br at (0.0178, 0.0637, 0.6523).

[17]
The following is a PBE calculation of a geometry-optimized TiCoTc2H structure, from Alexandria via LeMat-Bulk.

For the calculated total energy, the calculation gives -7.92 eV per atom.

The space group is P4/mmm (No. 123) and the conventional cell measures 3.9681, 3.9681 and 3.6274 Å, with angles of 90.00, 90.00 and 90.00 degrees. Symmetry generates all atoms from Ti at (0.0000, 0.0000, 0.0000), Co at (0.5000, 0.5000, 0.0000), Tc at (0.0000, 0.5000, 0.5000) and H at (0.5000, 0.5000, 0.5000).

[18]
The following is a PBE calculation of a geometry-optimized Sm2ReBr structure, from Alexandria via LeMat-Bulk.

For the calculated total energy, the calculation gives -6.35 eV per atom. The uncorrected formation energy comes out at -0.460 eV/atom.

The space group is P4/mmm (No. 123) and the conventional cell measures 3.5026, 3.5026 and 8.1327 Å, with angles of 90.00, 90.00 and 90.00 degrees. Symmetry generates all atoms from Sm at (0.0000, 0.0000, 0.2081), Re at (0.5000, 0.5000, 0.0000) and Br at (0.5000, 0.5000, 0.5000).

[19]
The following is a PBE calculation of a geometry-optimized Tb2Tm2Th3 structure, from Alexandria via LeMat-Bulk.

For the calculated total energy, the calculation gives -5.56 eV per atom.

The space group is C2/m (No. 12) and the conventional cell measures 14.3318, 3.5740 and 11.5358 Å, with angles of 90.00, 126.68 and 90.00 degrees. Symmetry generates all atoms from Tb at (0.2444, 0.0000, 0.3665), Tm at (0.2388, 0.5000, 0.1081), Th at (0.0000, 0.0000, 0.0000) and Th at (0.0027, 0.5000, 0.7316).

[20]
The following is a PBE calculation of a geometry-optimized CsMgRe3 structure, from Alexandria via LeMat-Bulk.

For the calculated total energy, the calculation gives -4.16 eV per atom.

The space group is Pm-3m (No. 221) and the conventional cell measures 4.9576, 4.9576 and 4.9576 Å, with angles of 90.00, 90.00 and 90.00 degrees. Symmetry generates all atoms from Cs at (0.0000, 0.0000, 0.0000), Mg at (0.5000, 0.5000, 0.5000) and Re at (0.0000, 0.0000, 0.5000).